No. 1
{"formula": "Ba2PaPt3O12", "functional": "PBE", "state": "optimized geometry", "lattice_angstrom": [[7.368, 0.104, 0.074], [3.729, 6.356, 0.074], [3.729, 2.171, 5.974]], "species": ["Ba", "Ba", "Pa", "Pt", "Pt", "Pt", "O", "O", "O", "O", "O", "O", "O", "O", "O", "O", "O", "O"], "fractional_positions": [[0.612, 0.612, 0.612], [0.388, 0.388, 0.388], [0.000, 0.000, 0.000], [0.500, 0.000, 0.000], [0.000, 0.500, 0.000], [0.000, 0.000, 0.500], [0.321, 0.321, 0.887], [0.904, 0.904, 0.363], [0.363, 0.904, 0.904], [0.887, 0.321, 0.321], [0.904, 0.363, 0.904], [0.321, 0.887, 0.321], [0.679, 0.679, 0.113], [0.096, 0.096, 0.637], [0.637, 0.096, 0.096], [0.113, 0.679, 0.679], [0.096, 0.637, 0.096], [0.679, 0.113, 0.679]], "magnetic_moment_mub_per_atom": 0.107, "e_form_raw_kcal_per_mol_atoms": -35.80, "spacegroup": "R-3m (166)"}

No. 2
{"formula": "BaPa2PtO8", "functional": "PBE", "state": "optimized geometry", "lattice_angstrom": [[-1.812, 3.972, -2.747], [-3.667, -2.863, -2.228], [-4.799, 1.688, 5.064]], "species": ["Ba", "Pa", "Pa", "Pt", "O", "O", "O", "O", "O", "O", "O", "O"], "fractional_positions": [[0.000, 0.000, 0.500], [0.485, 0.485, 0.758], [0.515, 0.515, 0.242], [0.000, 0.000, 0.000], [0.203, 0.784, 0.196], [0.719, 0.718, 0.016], [0.783, 0.202, 0.196], [0.797, 0.216, 0.804], [0.281, 0.282, 0.984], [0.217, 0.798, 0.804], [0.663, 0.662, 0.503], [0.337, 0.338, 0.497]], "magnetic_moment_mub_per_atom": 0.000, "e_form_raw_kcal_per_mol_atoms": -59.40, "spacegroup": "C2/m (12)"}

No. 3
{"formula": "BaPaPt2O6", "functional": "PBE", "state": "optimized geometry", "lattice_angstrom": [[5.907, 0.000, 0.000], [2.954, 5.116, 0.000], [2.954, 1.705, 5.999]], "species": ["Ba", "Pa", "Pt", "Pt", "O", "O", "O", "O", "O", "O"], "fractional_positions": [[0.000, 0.000, 0.000], [0.500, 0.500, 0.500], [0.764, 0.764, 0.709], [0.236, 0.236, 0.291], [0.115, 0.456, 0.714], [0.716, 0.115, 0.714], [0.544, 0.284, 0.286], [0.885, 0.544, 0.286], [0.284, 0.885, 0.286], [0.456, 0.716, 0.714]], "magnetic_moment_mub_per_atom": 0.000, "e_form_raw_kcal_per_mol_atoms": -37.98, "spacegroup": "R-3 (148)"}

No. 4
{"formula": "Ba2Pa3PtO12", "functional": "PBE", "state": "optimized geometry", "lattice_angstrom": [[-0.341, -1.653, 7.558], [3.613, -6.403, 2.431], [6.471, 0.899, 4.157]], "species": ["Ba", "Ba", "Pa", "Pa", "Pa", "Pt", "O", "O", "O", "O", "O", "O", "O", "O", "O", "O", "O", "O"], "fractional_positions": [[0.676, 0.676, 0.676], [0.324, 0.324, 0.324], [0.500, 0.000, 0.000], [0.000, 0.500, 0.000], [0.000, 0.000, 0.500], [0.000, 0.000, 0.000], [0.328, 0.328, 0.965], [0.938, 0.938, 0.298], [0.298, 0.938, 0.938], [0.965, 0.328, 0.328], [0.938, 0.298, 0.938], [0.328, 0.965, 0.328], [0.672, 0.672, 0.035], [0.062, 0.062, 0.702], [0.702, 0.062, 0.062], [0.035, 0.672, 0.672], [0.062, 0.702, 0.062], [0.672, 0.035, 0.672]], "magnetic_moment_mub_per_atom": 0.042, "e_form_raw_kcal_per_mol_atoms": -63.10, "spacegroup": "R-3m (166)"}